1.
## HoCuPb (SCAN)

Data for a PBEsol-optimized structure of HoCuPb.

Results
Its density of states at the Fermi level is 2.1 states/eV/cell. The energy of formation is -48.1 kJ per mole of atoms. Its uncorrected energy is -47.155 eV/atom.

Cell lengths 4.5388, 4.5388, 7.1824 Å; angles 90.00, 90.00, 120.00 degrees
Fractional positions:
Cu (0.3333, 0.6667, 0.2500)
Cu (0.6667, 0.3333, 0.7500)
Pb (0.6667, 0.3333, 0.2500)
Pb (0.3333, 0.6667, 0.7500)
Ho (0.0000, 0.0000, 0.0000)
Ho (0.0000, 0.0000, 0.5000)

---

2.
## Ho5CuPb3 (SCAN)

Data for a PBEsol-optimized structure of Ho5CuPb3.

Results
Its density of states at the Fermi level is 13.1 states/eV/cell. The energy of formation is -66.1 kJ per mole of atoms. Its uncorrected energy is -54.850 eV/atom.

Cell lengths 6.5156, 9.0248, 9.0248 Å; angles 120.00, 90.00, 90.00 degrees
Fractional positions:
Ho (0.5000, 0.3333, 0.6667)
Ho (0.7500, 0.2536, 0.2536)
Ho (0.5000, 0.6667, 0.3333)
Ho (0.7500, 0.0000, 0.7464)
Ho (0.0000, 0.6667, 0.3333)
Ho (0.7500, 0.7464, 0.0000)
Ho (0.0000, 0.3333, 0.6667)
Ho (0.2500, 0.2536, 0.0000)
Ho (0.2500, 0.0000, 0.2536)
Ho (0.2500, 0.7464, 0.7464)
Pb (0.7500, 0.0000, 0.3894)
Pb (0.2500, 0.3894, 0.3894)
Pb (0.7500, 0.6106, 0.6106)
Pb (0.2500, 0.0000, 0.6106)
Pb (0.2500, 0.6106, 0.0000)
Pb (0.7500, 0.3894, 0.0000)
Cu (0.0000, 0.0000, 0.0000)
Cu (0.5000, 0.0000, 0.0000)

---

3.
## HoCu4Pd (SCAN)

Data for a PBEsol-optimized structure of HoCu4Pd.

Results
Its density of states at the Fermi level is 2.9 states/eV/cell. The energy of formation is -38.1 kJ per mole of atoms. Its uncorrected energy is -24.155 eV/atom.

Cell lengths 4.8985, 4.8985, 4.8985 Å; angles 60.00, 60.00, 60.00 degrees
Fractional positions:
Cu (0.8775, 0.3742, 0.3742)
Cu (0.3742, 0.8775, 0.3742)
Cu (0.3742, 0.3742, 0.3742)
Cu (0.3742, 0.3742, 0.8775)
Pd (0.0000, 0.0000, 0.0000)
Ho (0.7500, 0.7500, 0.7500)

---

4.
## PmHoCu2 (SCAN)

Data for a PBEsol-optimized structure of PmHoCu2.

Results
Its density of states at the Fermi level is 2.1 states/eV/cell. The energy of formation is -24.5 kJ per mole of atoms. Its uncorrected energy is -31.097 eV/atom.

Cell lengths 4.8694, 4.8694, 4.8694 Å; angles 60.00, 60.00, 60.00 degrees
Fractional positions:
Cu (0.2500, 0.2500, 0.2500)
Cu (0.7500, 0.7500, 0.7500)
Pm (0.0000, 0.0000, 0.0000)
Ho (0.5000, 0.5000, 0.5000)

---

5.
## Ho2CuPt (SCAN)

Data for a PBEsol-optimized structure of Ho2CuPt.

Results
Its density of states at the Fermi level is 2.3 states/eV/cell. The energy of formation is -90.2 kJ per mole of atoms. Its uncorrected energy is -46.777 eV/atom.

Cell lengths 4.8184, 4.8184, 4.8184 Å; angles 60.00, 60.00, 60.00 degrees
Fractional positions:
Ho (0.2500, 0.2500, 0.2500)
Ho (0.7500, 0.7500, 0.7500)
Cu (0.5000, 0.5000, 0.5000)
Pt (0.0000, 0.0000, 0.0000)

---

6.
## HoCuS2 (SCAN)

Data for a PBEsol-optimized structure of HoCuS2.

Results
Its density of states at the Fermi level is 0.0 states/eV/cell. Its uncorrected energy is -22.429 eV/atom. The calculation puts the energy relative to the elements, uncorrected at -1569 meV per atom.

Cell lengths 3.8753, 6.1510, 13.1847 Å; angles 90.00, 90.00, 90.00 degrees
Fractional positions:
S (0.7501, 0.9991, 0.5421)
S (0.7499, 0.0009, 0.0421)
S (0.2501, 0.9959, 0.2957)
S (0.7499, 0.4959, 0.2043)
S (0.2499, 0.0041, 0.7957)
S (0.7501, 0.5041, 0.7043)
S (0.2501, 0.5009, 0.4579)
S (0.2499, 0.4991, 0.9579)
Ho (0.2501, 0.7456, 0.6324)
Ho (0.2499, 0.2544, 0.1324)
Ho (0.7499, 0.2456, 0.8676)
Ho (0.7501, 0.7544, 0.3676)
Cu (0.7501, 0.3801, 0.5419)
Cu (0.2501, 0.1199, 0.4581)
Cu (0.7499, 0.6199, 0.0419)
Cu (0.2499, 0.8801, 0.9581)

---

7.
## HoCu3S3 (SCAN)

Data for a PBEsol-optimized structure of HoCu3S3.

Results
Its density of states at the Fermi level is 0.0 states/eV/cell. Its uncorrected energy is -18.625 eV/atom. The calculation puts the energy relative to the elements, uncorrected at -987 meV per atom.

Cell lengths 6.5644, 6.5644, 7.2970 Å; angles 63.27, 63.27, 60.00 degrees
Fractional positions:
S (0.2554, 0.5826, 0.2502)
S (0.9119, 0.2554, 0.2502)
S (0.5826, 0.9119, 0.2502)
S (0.0881, 0.7446, 0.7498)
S (0.7446, 0.4174, 0.7498)
S (0.4174, 0.0881, 0.7498)
Cu (0.7196, 0.0343, 0.8694)
Cu (0.0343, 0.3766, 0.8694)
Cu (0.6234, 0.2804, 0.1306)
Cu (0.2804, 0.9657, 0.1306)
Cu (0.3766, 0.7196, 0.8694)
Cu (0.9657, 0.6234, 0.1306)
Ho (0.1665, 0.1665, 0.5004)
Ho (0.8335, 0.8335, 0.4996)

---

8.
## Ho3CuSiS7 (SCAN)

Data for a PBEsol-optimized structure of Ho3CuSiS7.

Results
Its density of states at the Fermi level is 0.0 states/eV/cell. Its uncorrected energy is -21.693 eV/atom. The calculation puts the energy relative to the elements, uncorrected at -1728 meV per atom.

Cell lengths 5.5809, 9.7119, 9.7119 Å; angles 120.00, 90.00, 90.00 degrees
Fractional positions:
Ho (0.7604, 0.6428, 0.8712)
Ho (0.2604, 0.3572, 0.1288)
Ho (0.7604, 0.2284, 0.3572)
Ho (0.7604, 0.1288, 0.7716)
Ho (0.2604, 0.8712, 0.2284)
Ho (0.2604, 0.7716, 0.6428)
S (0.2813, 0.7404, 0.9052)
S (0.2813, 0.0948, 0.8352)
S (0.7813, 0.2596, 0.0948)
S (0.5212, 0.5821, 0.1028)
S (0.2813, 0.1648, 0.2596)
S (0.7813, 0.8352, 0.7404)
S (0.0212, 0.4179, 0.8972)
S (0.5212, 0.5207, 0.4179)
S (0.5212, 0.8972, 0.4793)
S (0.0495, 0.6667, 0.3333)
S (0.0212, 0.1028, 0.5207)
S (0.7813, 0.9052, 0.1648)
S (0.5495, 0.3333, 0.6667)
S (0.0212, 0.4793, 0.5821)
Cu (0.2980, 0.0000, 0.0000)
Cu (0.7980, 0.0000, 0.0000)
Si (0.1732, 0.3333, 0.6667)
Si (0.6732, 0.6667, 0.3333)

---

9.
## HoCuSi (SCAN)

Data for a PBEsol-optimized structure of HoCuSi.

Results
Its density of states at the Fermi level is 0.9 states/eV/cell. Its uncorrected energy is -25.442 eV/atom. The calculation puts the energy relative to the elements, uncorrected at -708 meV per atom.

Cell lengths 4.1147, 4.1147, 7.1569 Å; angles 90.00, 90.00, 120.00 degrees
Fractional positions:
Si (0.3333, 0.6667, 0.7703)
Si (0.6667, 0.3333, 0.2703)
Ho (0.0000, 0.0000, 0.5051)
Ho (0.0000, 0.0000, 0.0051)
Cu (0.6667, 0.3333, 0.7336)
Cu (0.3333, 0.6667, 0.2336)

---

10.
## HoCuSi (SCAN)

Data for a PBEsol-optimized structure of HoCuSi.

Results
Its density of states at the Fermi level is 1.6 states/eV/cell. Its uncorrected energy is -25.410 eV/atom. The calculation puts the energy relative to the elements, uncorrected at -676 meV per atom.

Cell lengths 3.6507, 4.0784, 4.0784 Å; angles 120.00, 90.00, 90.00 degrees
Fractional positions:
Si (0.5000, 0.3333, 0.6667)
Ho (0.0000, 0.0000, 0.0000)
Cu (0.5000, 0.6667, 0.3333)

---

11.
## Ho3Cu4Si4 (SCAN)

Data for a PBEsol-optimized structure of Ho3Cu4Si4.

Results
Its density of states at the Fermi level is 2.3 states/eV/cell. Its uncorrected energy is -23.208 eV/atom. The calculation puts the energy relative to the elements, uncorrected at -679 meV per atom.

Cell lengths 4.0714, 6.4409, 7.7355 Å; angles 114.60, 105.26, 90.00 degrees
Fractional positions:
Cu (0.8308, 0.1396, 0.6615)
Cu (0.8308, 0.5219, 0.6615)
Cu (0.1692, 0.8604, 0.3385)
Cu (0.1692, 0.4781, 0.3385)
Ho (0.6295, 0.1295, 0.2590)
Ho (0.3705, 0.8705, 0.7410)
Ho (0.5000, 0.5000, 0.0000)
Si (0.0000, 0.1863, 0.0000)
Si (0.0000, 0.8137, 0.0000)
Si (0.7162, 0.7162, 0.4324)
Si (0.2838, 0.2838, 0.5676)

---

12.
## Ho3Cu4Sn4 (SCAN)

Data for a PBEsol-optimized structure of Ho3Cu4Sn4.

Results
Its density of states at the Fermi level is 2.5 states/eV/cell. The energy of formation is -56.5 kJ per mole of atoms. Its uncorrected energy is -32.536 eV/atom.

Cell lengths 4.3940, 6.8217, 8.2812 Å; angles 114.32, 105.38, 90.00 degrees
Fractional positions:
Cu (0.3288, 0.0173, 0.6577)
Cu (0.3288, 0.6404, 0.6577)
Cu (0.6712, 0.3596, 0.3423)
Cu (0.6712, 0.9827, 0.3423)
Ho (0.8689, 0.3689, 0.7377)
Ho (0.1311, 0.6311, 0.2623)
Ho (0.0000, 0.0000, 0.0000)
Sn (0.5000, 0.2961, 0.0000)
Sn (0.7840, 0.7840, 0.5680)
Sn (0.2160, 0.2160, 0.4320)
Sn (0.5000, 0.7039, 0.0000)

---

The highest uncorrected energy belongs to which entry? HoCu3S3